1.
# Cs2As2Au

A relaxed structure of Cs2As2Au (PBE, Alexandria).

Unit cell a=11.442 b=11.442 c=11.442 alpha=160.27 beta=160.27 gamma=28.05
Fractional coordinates of all 5 atoms:
1 Cs 0.106 0.106 0.000
2 Cs 0.894 0.894 0.000
3 As 0.250 0.750 0.500
4 As 0.750 0.250 0.500
5 Au 0.500 0.500 0.000

## Properties
The value obtained for the calculated total energy is -3.046 eV per atom. For the mass density, the calculation gives 5.96 Mg/m³. The crystal system is tetragonal. The energy relative to the elements is -189 meV per atom. The calculation puts the size of the total moment at 0.00 μB/cell. As for the density of states at the Fermi level: 1.73 states/eV per cell.

---

2.
# Cs3As2Au4

A relaxed structure of Cs3As2Au4 (PBE, Alexandria).

Unit cell a=7.247 b=9.739 c=10.249 alpha=89.24 beta=83.03 gamma=68.80
Fractional coordinates of all 18 atoms:
1 Cs 0.032 0.173 0.127
2 Cs 0.347 0.484 0.222
3 Cs 0.370 0.850 0.446
4 Cs 0.630 0.150 0.554
5 Cs 0.653 0.516 0.778
6 Cs 0.968 0.827 0.873
7 As 0.122 0.159 0.737
8 As 0.200 0.363 0.833
9 As 0.800 0.637 0.167
10 As 0.878 0.841 0.263
11 Au 0.044 0.281 0.524
12 Au 0.159 0.521 0.637
13 Au 0.378 0.956 0.842
14 Au 0.474 0.207 0.957
15 Au 0.526 0.793 0.043
16 Au 0.622 0.044 0.158
17 Au 0.841 0.479 0.363
18 Au 0.956 0.719 0.476

## Properties
The value obtained for the calculated total energy is -3.104 eV per atom. For the mass density, the calculation gives 6.63 Mg/m³. The crystal system is triclinic. The energy relative to the elements is -330 meV per atom. The calculation puts the size of the total moment at 0.00 μB/cell. As for the density of states at the Fermi level: 7.77 states/eV per cell.

---

3.
# Cs2AsAu2

A relaxed structure of Cs2AsAu2 (PBE, Alexandria).

Unit cell a=7.336 b=7.336 c=5.818 alpha=90.00 beta=90.00 gamma=90.00
Fractional coordinates of all 10 atoms:
1 Cs 0.178 0.322 0.000
2 Cs 0.322 0.822 0.000
3 Cs 0.678 0.178 0.000
4 Cs 0.822 0.678 0.000
5 As 0.000 0.000 0.500
6 As 0.500 0.500 0.500
7 Au 0.143 0.643 0.500
8 Au 0.357 0.143 0.500
9 Au 0.643 0.857 0.500
10 Au 0.857 0.357 0.500

## Properties
The value obtained for the calculated total energy is -2.733 eV per atom. For the mass density, the calculation gives 7.79 Mg/m³. The value obtained for the energy relative to the lowest polymorph listed for this composition is 115 meV/atom. The crystal system is tetragonal. The energy relative to the elements is -151 meV per atom. The calculation puts the size of the total moment at 0.00 μB/cell. As for the density of states at the Fermi level: 2.70 states/eV per cell.

---

4.
# Cs2AsAuF6

A relaxed structure of Cs2AsAuF6 (PBE, Alexandria).

Unit cell a=6.545 b=6.545 c=6.545 alpha=115.08 beta=115.08 gamma=98.76
Fractional coordinates of all 10 atoms:
1 Cs 0.250 0.750 0.500
2 Cs 0.750 0.250 0.500
3 As 0.000 0.000 0.000
4 Au 0.500 0.500 0.000
5 F 0.203 0.203 0.407
6 F 0.203 0.797 0.000
7 F 0.254 0.254 0.000
8 F 0.746 0.746 0.000
9 F 0.797 0.203 0.000
10 F 0.797 0.797 0.593

## Properties
The value obtained for the calculated total energy is -4.136 eV per atom. For the mass density, the calculation gives 5.14 Mg/m³. The calculation puts the formation energy without anion corrections at -2050.3 meV per atom. The crystal system is tetragonal. The calculation puts the size of the total moment at 0.00 μB/cell. As for the density of states at the Fermi level: 0.00 states/eV per cell.